MnAsO4 | Alexandria via LeMat-Bulk | GGA-PBEsol | relaxed; theoretical density = 4.36 g cm⁻³; E_form (uncorrected) = -1304 meV/atom
1.0
10.138 0.000 0.000
0.000 5.913 0.000
0.000 0.000 4.927
Mn As O
4 4 16
Cartesian
2.296 1.478 0.259 Mn
2.773 4.434 2.723 Mn
7.365 1.478 2.204 Mn
7.842 4.434 4.668 Mn
0.948 4.434 0.408 As
4.121 1.478 2.872 As
6.017 4.434 2.055 As
9.190 1.478 4.519 As
0.716 1.478 4.167 O
1.143 4.434 3.646 O
1.784 3.146 1.224 O
1.784 5.723 1.224 O
3.285 0.190 3.687 O
3.285 2.766 3.687 O
3.926 1.478 1.182 O
4.353 4.434 1.704 O
5.786 1.478 3.223 O
6.212 4.434 3.745 O
6.853 3.146 1.240 O
6.853 5.723 1.240 O
8.355 0.190 3.703 O
8.355 2.766 3.703 O
8.995 1.478 1.281 O
9.422 4.434 0.760 O


MnAs2O6 | Alexandria via LeMat-Bulk | GGA-PBEsol | relaxed; theoretical density = 5.30 g cm⁻³; E_form (uncorrected) = -1294 meV/atom
1.0
4.836 0.000 0.000
-2.418 4.188 0.000
0.000 0.000 4.649
Mn As O
1 2 6
Cartesian
0.000 0.000 0.000 Mn
0.000 2.792 2.325 As
2.418 1.396 2.325 As
-0.885 1.532 1.295 O
-1.534 2.656 3.355 O
1.769 0.000 1.295 O
0.885 1.532 3.355 O
3.067 0.000 3.355 O
1.534 2.656 1.295 O